Li4V3Fe3W2O16: optimized geometry, GGA+U.

Values from the calculation:
* VASP energy: -0.5118 Ry/atom

abc: 10.486 6.053 9.808
angles: 90.00 90.92 90.00
Space group Cm (No. 8)
One atom of each set of equivalent atoms:
Li 0.000 0.000 0.000
Li 0.006 0.000 0.499
Li 0.159 0.500 0.421
Li 0.329 0.000 0.918
V 0.089 0.254 0.730
V 0.173 0.000 0.236
Fe 0.327 0.500 0.724
Fe 0.414 0.246 0.222
W 0.165 0.500 0.002
W 0.337 0.000 0.502
O 0.004 0.000 0.812
O 0.009 0.000 0.308
O 0.019 0.500 0.866
O 0.092 0.259 0.102
O 0.151 0.500 0.620
O 0.178 0.000 0.606
O 0.233 0.278 0.864
O 0.248 0.211 0.365
O 0.313 0.000 0.124
O 0.327 0.500 0.091
O 0.414 0.242 0.597
O 0.472 0.000 0.369